(1)
Compound: Re2TcPt
Source: Alexandria via LeMat-Bulk
Functional: PBE
Structure: optimized geometry

The calculation puts the calculated formation energy at -0.022 eV per atom. The relative energy among the computed polymorphs is 0.25 eV per formula unit. The space group is P4/mmm. The value obtained for the total energy is -41.4 eV per cell.

Cell lengths 2.7483, 2.7483, 7.9206 Å; angles 90.00, 90.00, 90.00 degrees
Last column: nearest neighbours and their distance in Å.
Atoms (fractional coordinates):
Pt 0.5000 0.5000 0.7500  4 Pt 2.75, 8 Re 2.83
Re 0.0000 0.0000 0.0092  4 Tc 2.72, 4 Re 2.75, 4 Pt 2.83
Re 0.0000 0.0000 0.4908  4 Tc 2.72, 4 Re 2.75, 4 Pt 2.83
Tc 0.5000 0.5000 0.2500  8 Re 2.72, 4 Tc 2.75

(2)
Compound: Tb2BiPd6
Source: Alexandria via LeMat-Bulk
Functional: PBE
Structure: optimized geometry

The calculation puts the calculated formation energy at -0.473 eV per atom. The space group is C2/m. The value obtained for the total energy is -48.6 eV per cell.

Cell lengths 4.6176, 8.2461, 6.7419 Å; angles 127.70, 109.68, 90.00 degrees
Last column: nearest neighbours and their distance in Å.
Atoms (fractional coordinates):
Tb 0.6714 0.6763 0.3526  8 Pd 2.85-2.92, 1 Bi 3.13
Tb 0.3286 0.3237 0.6474  8 Pd 2.85-2.92, 1 Bi 3.13
Bi 0.0000 0.0000 0.0000  8 Pd 2.89-2.90, 2 Tb 3.13
Pd 0.1568 0.4562 0.3187  3 Tb 2.85-2.92, 5 Pd 2.86-3.08, 1 Bi 2.89
Pd 0.8432 0.1376 0.6813  3 Tb 2.85-2.92, 5 Pd 2.86-3.08, 1 Bi 2.89
Pd 0.8432 0.5438 0.6813  3 Tb 2.85-2.92, 5 Pd 2.86-3.08, 1 Bi 2.89
Pd 0.5000 0.2118 0.0000  4 Pd 2.86, 2 Bi 2.90, 2 Tb 2.92
Pd 0.1568 0.8624 0.3187  3 Tb 2.85-2.92, 5 Pd 2.86-3.08, 1 Bi 2.89
Pd 0.5000 0.7882 0.0000  4 Pd 2.86, 2 Bi 2.90, 2 Tb 2.92

(3)
Compound: PaGaPd2O8
Source: Alexandria via LeMat-Bulk
Functional: PBE
Structure: optimized geometry

The space group is I-4m2. The value obtained for the total energy is -76.8 eV per cell. For the uncorrected formation energy, the calculation gives -1.185 eV/atom.

Cell lengths 5.9084, 5.9084, 5.9084 Å; angles 109.54, 109.54, 109.34 degrees
Last column: nearest neighbours and their distance in Å.
Atoms (fractional coordinates):
Pa 0.0000 0.0000 0.0000  8 O 2.23-2.32
Ga 0.2500 0.7500 0.5000  8 O 2.14-2.22
Pd 0.7500 0.2500 0.5000  4 O 1.94
Pd 0.5000 0.5000 0.0000  4 O 1.96
O 0.3506 0.0246 0.3261  1 Pd 1.94
O 0.2826 0.4708 0.1881  1 Pd 1.96, 1 Ga 2.14
O 0.2826 0.0945 0.8119  1 Pd 1.96, 1 Ga 2.14
O 0.6985 0.0246 0.6739  1 Pd 1.94
O 0.9055 0.7174 0.1881  1 Pd 1.96, 1 Ga 2.14
O 0.9754 0.3015 0.3261  1 Pd 1.94
O 0.9754 0.6494 0.6739  1 Pd 1.94
O 0.5292 0.7174 0.8119  1 Pd 1.96, 1 Ga 2.14

(4)
Compound: CePm7Sm4
Source: Alexandria via LeMat-Bulk
Functional: PBE
Structure: optimized geometry

The calculation puts the calculated formation energy at 0.027 eV per atom. The space group is P-1. The value obtained for the total energy is -57.7 eV per cell.

Cell lengths 7.3296, 6.3483, 11.6406 Å; angles 79.51, 50.93, 89.98 degrees
Last column: nearest neighbours and their distance in Å.
Atoms (fractional coordinates):
Ce 0.0000 0.0000 0.0000  10 Pm 3.57-3.66, 2 Sm 3.58
Pm 0.7524 0.5000 0.0002  7 Pm 3.58-3.70, 3 Sm 3.59-3.63, 2 Ce 3.66
Pm 0.2476 0.5000 0.9998  7 Pm 3.58-3.70, 3 Sm 3.59-3.63, 2 Ce 3.66
Pm 0.0830 0.2763 0.6691  1 Ce 3.59, 5 Pm 3.60-3.68, 6 Sm 3.63-3.69
Pm 0.9170 0.7237 0.3309  1 Ce 3.59, 5 Pm 3.60-3.68, 6 Sm 3.63-3.69
Pm 0.3296 0.7802 0.6705  1 Ce 3.57, 6 Pm 3.58-3.68, 5 Sm 3.63-3.68
Pm 0.5000 0.0000 0.0000  4 Sm 3.60-3.62, 6 Pm 3.60-3.68, 2 Ce 3.66
Pm 0.6704 0.2198 0.3295  1 Ce 3.57, 6 Pm 3.58-3.68, 5 Sm 3.63-3.68
Sm 0.4211 0.7240 0.3305  1 Ce 3.58, 8 Pm 3.59-3.69, 3 Sm 3.63-3.68
Sm 0.5789 0.2760 0.6695  1 Ce 3.58, 8 Pm 3.59-3.69, 3 Sm 3.63-3.68
Sm 0.8349 0.7785 0.6653  4 Sm 3.59-3.68, 8 Pm 3.62-3.68
Sm 0.1651 0.2215 0.3347  4 Sm 3.59-3.68, 8 Pm 3.62-3.68

(5)
Compound: Re5W
Source: Alexandria via LeMat-Bulk
Functional: PBE
Structure: optimized geometry

The calculation puts the calculated formation energy at 0.095 eV per atom. The relative energy among the computed polymorphs is 0.07 eV per formula unit. The space group is Amm2. The value obtained for the total energy is -74.6 eV per cell.

Cell lengths 7.3723, 7.3723, 4.5465 Å; angles 90.00, 90.00, 158.34 degrees
Last column: nearest neighbours and their distance in Å.
Atoms (fractional coordinates):
Re 0.0000 0.0000 0.0000  10 Re 2.77-2.81, 2 W 2.78
Re 0.3335 0.6665 0.0000  12 Re 2.76-2.78
Re 0.6690 0.3310 0.0000  8 Re 2.76-2.81, 4 W 2.80
Re 0.4420 0.5580 0.5000  10 Re 2.74-2.79, 2 W 2.80
Re 0.7789 0.2211 0.5000  10 Re 2.74-2.78, 2 W 2.81
W 0.1099 0.8901 0.5000  2 W 2.77, 10 Re 2.78-2.81

(6)
Compound: LaHo3Th4S8
Source: Alexandria via LeMat-Bulk
Functional: PBE
Structure: optimized geometry

The space group is R-3m. The value obtained for the total energy is -112.1 eV per cell. For the uncorrected formation energy, the calculation gives -1.920 eV/atom.

Cell lengths 7.8727, 8.1213, 7.8734 Å; angles 118.99, 120.00, 90.00 degrees
Last column: nearest neighbours and their distance in Å.
Atoms (fractional coordinates):
La 0.0000 0.5000 0.0000  6 S 2.84
Ho 0.5000 0.5000 0.0000  6 S 2.76
Ho 0.5000 0.5000 0.5000  6 S 2.76
Ho 0.0000 0.5000 0.5000  6 S 2.76
Th 0.5000 0.0000 0.0000  6 S 2.82
Th 0.5000 0.0000 0.5000  6 S 2.90
Th 0.0000 0.0000 0.0000  6 S 2.90
Th 0.0000 0.0000 0.5000  6 S 2.90
S 0.2512 0.7387 0.9875  2 Ho 2.76, 3 Th 2.82-2.90, 1 La 2.84
S 0.2512 0.7387 0.5024  2 Ho 2.76, 3 Th 2.82-2.90, 1 La 2.84
S 0.2558 0.2674 0.5116  3 Ho 2.76, 3 Th 2.90
S 0.7364 0.7387 0.9875  2 Ho 2.76, 3 Th 2.82-2.90, 1 La 2.84
S 0.2636 0.2613 0.0125  2 Ho 2.76, 3 Th 2.82-2.90, 1 La 2.84
S 0.7442 0.7326 0.4884  3 Ho 2.76, 3 Th 2.90
S 0.7488 0.2613 0.4976  2 Ho 2.76, 3 Th 2.82-2.90, 1 La 2.84
S 0.7488 0.2613 0.0125  2 Ho 2.76, 3 Th 2.82-2.90, 1 La 2.84

(7)
Compound: NaY2NbPd
Source: Alexandria via LeMat-Bulk
Functional: PBE
Structure: optimized geometry

The calculation puts the calculated formation energy at 1.358 eV per atom. The space group is P4/mmm. The value obtained for the total energy is -22.7 eV per cell.

Cell lengths 5.2995, 4.7600, 5.2995 Å; angles 90.00, 90.00, 90.00 degrees
Last column: nearest neighbours and their distance in Å.
Atoms (fractional coordinates):
Y 0.0000 0.0000 0.5000  2 Na 2.65
Y 0.5000 0.0000 0.0000  2 Na 2.65
Na 0.0000 0.0000 0.0000  2 Nb 2.38, 4 Y 2.65
Nb 0.0000 0.5000 0.0000  2 Na 2.38
Pd 0.5000 0.5000 0.5000  8 Y 3.56, 4 Nb 3.75

(8)
Compound: MgH6Pd2
Source: Alexandria via LeMat-Bulk
Functional: PBE
Structure: optimized geometry

The space group is R3. The value obtained for the total energy is -32.6 eV per cell.

Cell lengths 4.8204, 4.8204, 5.1806 Å; angles 62.27, 62.27, 60.00 degrees
Last column: nearest neighbours and their distance in Å.
Atoms (fractional coordinates):
Mg 0.8132 0.8132 0.5605  3 H 1.99
H 0.5418 0.2620 0.3413  2 Pd 1.76-1.78
H 0.2620 0.8549 0.3413  2 Pd 1.76-1.78
H 0.8549 0.5418 0.3413  2 Pd 1.76-1.78
H 0.3686 0.6168 0.8808  2 Pd 1.77-1.80
H 0.6168 0.1338 0.8808  2 Pd 1.77-1.80
H 0.1338 0.3686 0.8808  2 Pd 1.77-1.80
Pd 0.2682 0.2682 0.1953  6 H 1.78-1.80
Pd 0.4750 0.4750 0.5751  6 H 1.76-1.77